The following is a DFT calculation (PBE with a Hubbard U) of an optimized crystal structure of CaLa2Co2Sb2Pb2O12.

SG = P1 (1)
DFT total energy = -136.0 eV/cell
offset from the most stable computed form = 0.013 eV/atom
total moment = 0.0 Bohr magnetons per cell

Unit cell a=5.6395 b=5.8705 c=10.2420 alpha=77.24 beta=89.38 gamma=89.09
With the nearest neighbours (Å) after each atom.
Fractional positions:
La (0.9930, 0.0816, 0.8297)  3 O 2.19-2.42
La (0.5241, 0.4996, 0.2260)  7 O 2.44-2.72
Co (0.0030, 0.3975, 0.4378)  4 O 1.96-2.18
Co (0.5050, 0.0523, 0.0167)  6 O 2.06-2.21
O (0.4362, 0.9554, 0.2341)  1 Sb 2.01, 1 Co 2.20
O (0.0784, 0.2152, 0.6178)  1 Co 1.96, 1 La 2.19
O (0.2055, 0.2632, 0.9826)  1 Sb 2.01, 1 Co 2.06
O (0.5675, 0.0663, 0.8063)  1 Co 2.16, 1 Ca 2.32, 1 Pb 2.37, 1 La 2.42
O (0.9495, 0.6606, 0.8291)  1 Sb 2.00
O (0.3057, 0.7418, 0.0013)  1 Sb 2.05, 1 Co 2.19
O (0.6988, 0.1958, 0.4010)  1 Co 2.18, 1 Sb 2.21, 1 Ca 2.38, 1 La 2.44
O (0.8024, 0.7984, 0.0617)  1 Sb 2.06, 1 Co 2.21
O (0.3210, 0.5532, 0.4288)  1 Co 2.02, 1 Sb 2.12
O (0.0836, 0.4361, 0.2178)  1 Sb 1.99
O (0.7168, 0.3383, 0.0358)  1 Sb 2.03, 1 Co 2.12
O (0.7811, 0.6823, 0.3964)  1 Sb 1.97, 1 Co 2.04
Sb (0.5014, 0.8666, 0.4318)  4 O 1.97-2.21
Sb (0.0154, 0.5320, 0.0226)  6 O 1.99-2.06
Pb (0.5274, 0.6594, 0.8226)  3 O 2.34-2.38
Pb (0.9888, 0.9874, 0.2270)  4 O 2.47-2.68
Ca (0.4836, 0.2669, 0.5897)  4 O 2.27-2.38